A plane-wave DFT calculation with PBE was carried out for Mn4InCu after structural relaxation.

Output
The value obtained for the formation energy is 216 kJ/mol of formula units. The value obtained for the theoretical density is 8.31 g/cm³. As for the space group: No. 216. Its total energy is -6.88 eV/atom.

Cell and atoms, written as CIF:
```
data_Mn4InCu
_chemical_formula_sum 'Mn4 In1 Cu1'
_symmetry_space_group_name_H-M 'P 1'
_symmetry_Int_Tables_number 1
_symmetry_space_group_name_Hall 'P 1'
_cell_length_a 4.827
_cell_length_b 4.827
_cell_length_c 4.827
_cell_angle_alpha 60.00
_cell_angle_beta 60.00
_cell_angle_gamma 60.00
loop_
_atom_site_label
_atom_site_fract_x
_atom_site_fract_y
_atom_site_fract_z
_atom_site_occupancy
Mn1 0.376 0.376 0.376 1
Mn2 0.376 0.376 0.873 1
Mn3 0.376 0.873 0.376 1
Mn4 0.873 0.376 0.376 1
In1 0.000 0.000 0.000 1
Cu1 0.750 0.750 0.750 1
```